Model w:
The following is a DFT calculation (PBE-GGA) of SmPu2Ru2 after structural relaxation.

Geometry as CIF:
```
data_SmPu2Ru2
_chemical_formula_sum 'Sm4 Pu8 Ru8'
_symmetry_space_group_name_H-M 'C 1 2/c 1'
_symmetry_Int_Tables_number 15
_cell_length_a 10.010
_cell_length_b 10.638
_cell_length_c 5.497
_cell_angle_alpha 90.00
_cell_angle_beta 123.15
_cell_angle_gamma 90.00
loop_
_symmetry_equiv_pos_as_xyz
'x,y,z'
'-x,-y,-z'
'-x,y,-z+1/2'
'x,-y,z+1/2'
'x+1/2,y+1/2,z'
'-x+1/2,-y+1/2,-z'
'-x+1/2,y+1/2,-z+1/2'
'x+1/2,-y+1/2,z+1/2'
loop_
_atom_site_label
_atom_site_fract_x
_atom_site_fract_y
_atom_site_fract_z
Sm1 0.000 0.138 0.250
Pu1 0.196 0.395 0.948
Ru1 0.000 0.174 0.750
Ru2 0.000 0.426 0.250
```

Model x:
The following is a DFT calculation (PBE-GGA) of SmPu2Ru2 after structural relaxation.

Geometry as CIF:
```
data_SmPu2Ru2
_chemical_formula_sum 'Sm4 Pu8 Ru8'
_symmetry_space_group_name_H-M 'C 1 2/c 1'
_symmetry_Int_Tables_number 15
_cell_length_a 5.349
_cell_length_b 12.101
_cell_length_c 7.148
_cell_angle_alpha 90.00
_cell_angle_beta 92.60
_cell_angle_gamma 90.00
loop_
_symmetry_equiv_pos_as_xyz
'x,y,z'
'-x,-y,-z'
'-x,y,-z+1/2'
'x,-y,z+1/2'
'x+1/2,y+1/2,z'
'-x+1/2,-y+1/2,-z'
'-x+1/2,y+1/2,-z+1/2'
'x+1/2,-y+1/2,z+1/2'
loop_
_atom_site_label
_atom_site_fract_x
_atom_site_fract_y
_atom_site_fract_z
Sm1 0.000 0.069 0.250
Pu1 0.004 0.332 0.002
Ru1 0.000 0.180 0.750
Ru2 0.000 0.475 0.250
```

It is model w that is the least stable of them.

Model w:
The following is a DFT calculation (PBE-GGA) of Sm2PuRu2 after structural relaxation.

Geometry as CIF:
```
data_Sm2PuRu2
_chemical_formula_sum 'Sm8 Pu4 Ru8'
_symmetry_space_group_name_H-M 'C 1 2/c 1'
_symmetry_Int_Tables_number 15
_cell_length_a 10.126
_cell_length_b 5.936
_cell_length_c 7.881
_cell_angle_alpha 90.00
_cell_angle_beta 101.06
_cell_angle_gamma 90.00
loop_
_symmetry_equiv_pos_as_xyz
'x,y,z'
'-x,-y,-z'
'-x,y,-z+1/2'
'x,-y,z+1/2'
'x+1/2,y+1/2,z'
'-x+1/2,-y+1/2,-z'
'-x+1/2,y+1/2,-z+1/2'
'x+1/2,-y+1/2,z+1/2'
loop_
_atom_site_label
_atom_site_fract_x
_atom_site_fract_y
_atom_site_fract_z
Sm1 0.151 0.126 0.151
Pu1 0.000 0.378 0.750
Ru1 0.131 0.364 0.509
```

Model x:
The following is a DFT calculation (PBE-GGA) of Sm2PuRu2 after structural relaxation.

Geometry as CIF:
```
data_Sm2PuRu2
_chemical_formula_sum 'Sm8 Pu4 Ru8'
_symmetry_space_group_name_H-M 'C m c 21'
_symmetry_Int_Tables_number 36
_cell_length_a 4.140
_cell_length_b 11.412
_cell_length_c 10.255
_cell_angle_alpha 90.00
_cell_angle_beta 90.00
_cell_angle_gamma 90.00
loop_
_symmetry_equiv_pos_as_xyz
'x,y,z'
'-x,-y,z+1/2'
'-x,y,z'
'x,-y,z+1/2'
'x+1/2,y+1/2,z'
'-x+1/2,-y+1/2,z+1/2'
'-x+1/2,y+1/2,z'
'x+1/2,-y+1/2,z+1/2'
loop_
_atom_site_label
_atom_site_fract_x
_atom_site_fract_y
_atom_site_fract_z
Sm1 0.000 0.100 0.000
Sm2 0.000 0.344 0.196
Pu1 0.000 0.367 0.836
Ru1 0.000 0.016 0.255
Ru2 0.000 0.177 0.481
```

It is model x that is the least stable of them.

Model w:
The following is a DFT calculation (PBE-GGA) of Sm2Pu2Ru3 after structural relaxation.

Geometry as CIF:
```
data_Sm2Pu2Ru3
_chemical_formula_sum 'Sm6 Pu6 Ru9'
_symmetry_space_group_name_H-M 'R -3 m'
_symmetry_Int_Tables_number 166
_symmetry_space_group_name_Hall '-R 3 2"'
_cell_length_a 4.5977
_cell_length_b 4.5977
_cell_length_c 25.9853
_cell_angle_alpha 90.00
_cell_angle_beta 90.00
_cell_angle_gamma 120.00
loop_
_atom_site_label
_atom_site_fract_x
_atom_site_fract_y
_atom_site_fract_z
Sm1 0.0000 0.0000 0.1242
Pu1 0.0000 0.0000 0.3756
Ru1 0.0000 0.0000 0.0000
Ru2 0.0000 0.0000 0.2603
```

Model x:
The following is a DFT calculation (PBE-GGA) of Sm2Pu2Ru3 after structural relaxation.

Geometry as CIF:
```
data_Sm2Pu2Ru3
_chemical_formula_sum 'Sm2 Pu2 Ru3'
_symmetry_space_group_name_H-M 'P -1'
_symmetry_Int_Tables_number 2
_cell_length_a 3.840
_cell_length_b 5.517
_cell_length_c 7.542
_cell_angle_alpha 87.65
_cell_angle_beta 75.47
_cell_angle_gamma 69.80
loop_
_symmetry_equiv_pos_as_xyz
'x,y,z'
'-x,-y,-z'
loop_
_atom_site_label
_atom_site_fract_x
_atom_site_fract_y
_atom_site_fract_z
Sm1 0.210 0.207 0.371
Pu1 0.160 0.624 0.057
Ru1 0.479 0.357 0.684
Ru2 0.500 0.000 0.000
```

It is model x that is the least stable of them.

Model w:
The following is a DFT calculation (PBE-GGA) of SmPuTlRu after structural relaxation.

Geometry as CIF:
```
data_SmPuTlRu
_chemical_formula_sum 'Sm1 Pu1 Tl1 Ru1'
_symmetry_space_group_name_H-M 'P 4 m m'
_symmetry_Int_Tables_number 99
_cell_length_a 3.376
_cell_length_b 3.376
_cell_length_c 8.507
_cell_angle_alpha 90.00
_cell_angle_beta 90.00
_cell_angle_gamma 90.00
loop_
_symmetry_equiv_pos_as_xyz
'x,y,z'
'-y,x,z'
'-x,-y,z'
'y,-x,z'
'-x,y,z'
'y,x,z'
'x,-y,z'
'-y,-x,z'
loop_
_atom_site_label
_atom_site_fract_x
_atom_site_fract_y
_atom_site_fract_z
Sm1 0.000 0.000 0.000
Pu1 0.000 0.000 0.592
Tl1 0.500 0.500 0.300
Ru1 0.500 0.500 0.785
```

Model x:
The following is a DFT calculation (PBE-GGA) of SmPuTlRu after structural relaxation.

Geometry as CIF:
```
data_SmPuTlRu
_chemical_formula_sum 'Sm4 Pu4 Tl4 Ru4'
_symmetry_space_group_name_H-M 'F -4 3 m'
_symmetry_Int_Tables_number 216
_symmetry_space_group_name_Hall 'F -4 2 3'
_cell_length_a 7.275
_cell_length_b 7.275
_cell_length_c 7.275
_cell_angle_alpha 90.00
_cell_angle_beta 90.00
_cell_angle_gamma 90.00
loop_
_atom_site_label
_atom_site_fract_x
_atom_site_fract_y
_atom_site_fract_z
Sm1 0.000 0.000 0.000
Pu1 0.000 0.000 0.500
Tl1 0.250 0.250 0.250
Ru1 0.250 0.250 0.750
```

It is model x that is the least stable of them.

Model w:
The following is a DFT calculation (PBE-GGA) of Pu2SnRu after structural relaxation.

Geometry as CIF:
```
data_Pu2SnRu
_chemical_formula_sum 'Pu2 Sn1 Ru1'
_symmetry_space_group_name_H-M 'P 4/m m m'
_symmetry_Int_Tables_number 123
_symmetry_space_group_name_Hall '-P 4 2'
_cell_length_a 4.411
_cell_length_b 4.411
_cell_length_c 4.428
_cell_angle_alpha 90.00
_cell_angle_beta 90.00
_cell_angle_gamma 90.00
loop_
_atom_site_label
_atom_site_fract_x
_atom_site_fract_y
_atom_site_fract_z
Pu1 0.000 0.500 0.000
Sn1 0.000 0.000 0.500
Ru1 0.500 0.500 0.500
```

Model x:
The following is a DFT calculation (PBE-GGA) of Pu2SnRu after structural relaxation.

Geometry as CIF:
```
data_Pu2SnRu
_chemical_formula_sum 'Pu6 Sn3 Ru3'
_symmetry_space_group_name_H-M 'R -3 m'
_symmetry_Int_Tables_number 166
_symmetry_space_group_name_Hall '-R 3 2"'
_cell_length_a 4.8524
_cell_length_b 4.8524
_cell_length_c 13.5979
_cell_angle_alpha 90.00
_cell_angle_beta 90.00
_cell_angle_gamma 120.00
loop_
_atom_site_label
_atom_site_fract_x
_atom_site_fract_y
_atom_site_fract_z
Pu1 0.0000 0.0000 0.2347
Sn1 0.0000 0.0000 0.0000
Ru1 0.0000 0.0000 0.5000
```

It is model x that is the least stable of them.

Model w:
The following is a DFT calculation (PBE-GGA) of Pu3SnRu2 after structural relaxation.

Geometry as CIF:
```
data_Pu3SnRu2
_chemical_formula_sum 'Pu3 Sn1 Ru2'
_symmetry_space_group_name_H-M 'P 4/m m m'
_symmetry_Int_Tables_number 123
_symmetry_space_group_name_Hall '-P 4 2'
_cell_length_a 3.270
_cell_length_b 3.270
_cell_length_c 12.044
_cell_angle_alpha 90.00
_cell_angle_beta 90.00
_cell_angle_gamma 90.00
loop_
_atom_site_label
_atom_site_fract_x
_atom_site_fract_y
_atom_site_fract_z
Pu1 0.000 0.000 0.000
Pu2 0.000 0.000 0.297
Sn1 0.500 0.500 0.500
Ru1 0.500 0.500 0.145
```

Model x:
The following is a DFT calculation (PBE-GGA) of Pu3SnRu2 after structural relaxation.

Geometry as CIF:
```
data_Pu3SnRu2
_chemical_formula_sum 'Pu12 Sn4 Ru8'
_symmetry_space_group_name_H-M 'I m m a'
_symmetry_Int_Tables_number 74
_symmetry_space_group_name_Hall '-I 2b 2'
_cell_length_a 8.281
_cell_length_b 8.757
_cell_length_c 7.468
_cell_angle_alpha 90.00
_cell_angle_beta 90.00
_cell_angle_gamma 90.00
loop_
_atom_site_label
_atom_site_fract_x
_atom_site_fract_y
_atom_site_fract_z
Pu1 0.178 0.000 0.000
Pu2 0.250 0.250 0.250
Sn1 0.000 0.250 0.684
Ru1 0.000 0.078 0.342
```

It is model x that is the least stable of them.